DFT (PBE) results for a relaxed structure of TbPm2HoTm.

Lattice parameters (Å, degrees): 7.113 7.113 7.251 90.00 90.00 107.54
Positions (direct):
Tb1 0.226 0.774 0.750
Tb2 0.774 0.226 0.250
Pm1 0.194 0.194 0.000
Pm2 0.194 0.194 0.500
Pm3 0.806 0.806 0.000
Pm4 0.806 0.806 0.500
Ho1 0.228 0.772 0.250
Ho2 0.772 0.228 0.750
Tm1 0.498 0.502 0.750
Tm2 0.502 0.498 0.250

Output
magnetization	0.00	μB/cell
calculated total energy	-4.2256	eV/atom
calculated density	7.43	g/cm³
ΔH_f (0 K)	0.41	eV/atom


DFT (PBE) results for a relaxed structure of Pm2DyPb3.

Lattice parameters (Å, degrees): 8.050 8.050 9.113 90.00 90.00 143.74
Positions (direct):
Pm1 0.000 0.000 0.000
Pm2 0.000 0.000 0.500
Pm3 0.333 0.667 0.000
Pm4 0.667 0.333 0.000
Dy1 0.332 0.668 0.500
Dy2 0.668 0.332 0.500
Pb1 0.168 0.832 0.254
Pb2 0.168 0.832 0.746
Pb3 0.500 0.500 0.253
Pb4 0.500 0.500 0.747
Pb5 0.832 0.168 0.254
Pb6 0.832 0.168 0.746

Output
magnetization	0.01	μB/cell
calculated total energy	-4.6899	eV/atom
energy above the most stable polymorph in this dataset	0.00	eV per formula unit
calculated density	10.21	g/cm³
ΔH_f (0 K)	-0.49	eV/atom


DFT (PBE) results for a relaxed structure of HfTi3Te.

Lattice parameters (Å, degrees): 4.925 4.925 4.925 90.00 90.00 90.00
Positions (direct):
Hf1 0.000 0.000 0.000
Ti1 0.000 0.500 0.500
Ti2 0.500 0.000 0.500
Ti3 0.500 0.500 0.000
Te1 0.500 0.500 0.500

Output
magnetization	0.00	μB/cell
calculated total energy	-6.6890	eV/atom
energy above the most stable polymorph in this dataset	3.88	eV per formula unit
calculated density	6.25	g/cm³
formation energy (no corrections)	667.0	meV/atom